This record from the Alexandria database describes a relaxed Sm2InAs crystal. The functional is PBE.

## Properties
Magnetization, μB/atom: 0.000
DFT total energy, eV per atom: -5.127
E_form, eV per atom: -0.92

Lattice parameters (Å, degrees): 4.0999 4.0999 8.3356 75.76 75.76 60.00
Last column: nearest neighbours and their distance in Å.
Element x y z (fractional)
Sm1 0.7378 0.7378 0.7867  3 As 2.92
Sm2 0.2622 0.2622 0.2133  3 As 2.92
In1 0.5000 0.5000 0.5000  6 Sm 3.29
As1 0.0000 0.0000 0.0000  6 Sm 2.92